1.
{
  "formula": "RbMg6Zn",
  "functional": "PBE",
  "state": "optimized geometry",
  "cell": [[-6.985, 0.626, -4.745], [1.551, -0.774, 8.288], [0.134, 4.471, 0.393]],
  "species": ["Mg", "Zn", "Mg", "Mg", "Mg", "Rb", "Mg", "Mg"],
  "frac_coords": [[0.332, 0.178, 0.500], [0.100, 0.900, 0.000], [0.822, 0.668, 0.500], [0.687, 0.790, 0.000], [0.875, 0.125, 0.500], [0.281, 0.719, 0.500], [0.210, 0.313, 0.000], [0.692, 0.308, 0.000]],
  "sg": "Amm2, No. 38",
  "density_g_cm3": 2.16,
  "formation_enthalpy_0k_kj_per_mol_fu": 147
}

***

2.
{
  "formula": "Rb2MgZn2",
  "functional": "PBE",
  "state": "optimized geometry",
  "cell": [[-5.322, 0.481, -5.708], [-0.202, -7.802, -0.469], [-4.298, -0.129, 3.997]],
  "species": ["Zn", "Mg", "Rb", "Zn", "Zn", "Zn", "Mg", "Rb", "Rb", "Rb"],
  "frac_coords": [[0.378, 0.878, 0.000], [0.000, 0.000, 0.000], [0.182, 0.682, 0.500], [0.878, 0.622, 0.000], [0.622, 0.122, 0.000], [0.122, 0.378, 0.000], [0.500, 0.500, 0.000], [0.318, 0.182, 0.500], [0.818, 0.318, 0.500], [0.682, 0.818, 0.500]],
  "polymorph_energy_mev_per_atom": 0,
  "sg": "P4/mbm, No. 127",
  "density_g_cm3": 3.02,
  "formation_enthalpy_0k_kj_per_mol_fu": 91
}